Record 1
First-principles (PBE) data for UTlCuTe4 after structural relaxation, as listed in Alexandria via LeMat-Bulk.

```
14
Lattice="7.463 0.000 -0.049 0.000 6.225 0.000 -2.998 0.000 9.324" Properties=species:S:1:pos:R:3 pbc="T T T"
Te 6.456 3.084 2.662
Te 1.546 1.556 7.931
U 0.350 1.556 5.193
Te -1.991 6.196 6.614
Tl 2.785 4.669 8.776
Cu 1.051 4.669 3.076
Te 6.456 0.028 2.662
Te -1.991 3.141 6.614
Te 3.027 1.556 3.685
Tl 1.680 1.556 0.500
Te 1.438 4.669 5.590
Te 2.919 4.669 1.345
Cu 3.415 1.556 6.200
U 4.115 4.669 4.082
```

Summary:
V: 30.88 Å³/atom
Energy: -4.720 eV/atom
Raw formation energy: -0.39 eV/atom
D(E_F): 12.305 states/eV/cell
SG: P2_1/m, No. 11

***

Record 2
First-principles (PBE) data for UTl3Cu2Te6 after structural relaxation, as listed in Alexandria via LeMat-Bulk.

```
12
Lattice="6.902 0.551 -0.024 -2.972 6.254 -0.024 -1.345 -2.329 8.398" Properties=species:S:1:pos:R:3 pbc="T T T"
Te -1.257 1.933 1.814
Tl -2.163 4.234 4.175
Tl 1.292 2.238 4.175
Cu 3.725 2.386 -0.024
Te 0.053 0.092 7.011
Te 2.532 4.384 1.338
Tl 4.748 0.242 4.175
Te 2.302 -0.123 1.814
Cu 0.205 4.419 -0.024
Te 0.283 4.599 6.536
U 0.000 0.000 0.000
Te 3.842 2.543 6.536
```

Summary:
V: 31.29 Å³/atom
Energy: -4.021 eV/atom
Raw formation energy: -0.24 eV/atom
D(E_F): 7.399 states/eV/cell
SG: C2/m, No. 12

***

Record 3
First-principles (PBE) data for UTlCu2Te4 after structural relaxation, as listed in Alexandria via LeMat-Bulk.

```
8
Lattice="7.212 0.000 0.000 3.606 5.576 -0.147 3.606 0.310 5.569" Properties=species:S:1:pos:R:3 pbc="T T T"
Tl 0.000 0.000 0.000
Cu 3.606 2.015 1.856
Te 9.037 2.971 0.276
Te 5.386 0.518 2.939
U 7.212 2.943 2.711
Te 5.386 5.367 2.483
Te 9.037 2.914 5.146
Cu 10.818 3.870 3.565
```

Summary:
V: 28.03 Å³/atom
Energy: -4.404 eV/atom
Raw formation energy: -0.10 eV/atom
D(E_F): 11.032 states/eV/cell
SG: I222, No. 23